Record 1
K5RhS4 | GGA-PBE | optimized geometry

a = 9.551 Å, b = 9.551 Å, c = 7.620 Å
α = 113.43°, β = 113.43°, γ = 25.65°
Atoms (fractional coordinates):
K  0.000  0.000  0.000
K  0.330  0.330  0.593
K  0.331  0.331  0.068
K  0.669  0.669  0.932
K  0.670  0.670  0.407
Rh  0.000  0.000  0.500
S  0.155  0.155  0.655
S  0.500  0.500  0.304
S  0.500  0.500  0.696
S  0.845  0.845  0.345

Summary:
Uncorrected formation energy = -59.7 kJ/mol of atoms
Space-group type = No. 12

Record 2
TbCe2TlC | GGA-PBE | optimized geometry

a = 4.959 Å, b = 4.959 Å, c = 5.024 Å
α = 90.00°, β = 90.00°, γ = 90.00°
Atoms (fractional coordinates):
Tb  0.000  0.000  0.000
Ce  0.000  0.500  0.500
Ce  0.500  0.000  0.500
Tl  0.500  0.500  0.000
C  0.000  0.000  0.500

Summary:
Calculated formation energy = -0.308 eV per atom
Space-group type = No. 123

Record 3
Al5Tc4 | GGA-PBE | optimized geometry

a = 6.773 Å, b = 6.773 Å, c = 6.773 Å
α = 92.82°, β = 92.82°, γ = 154.38°
Atoms (fractional coordinates):
Al  0.000  0.000  0.000
Al  0.333  0.333  0.666
Al  0.333  0.667  0.000
Al  0.667  0.333  0.000
Al  0.667  0.667  0.334
Tc  0.000  0.331  0.331
Tc  0.000  0.669  0.669
Tc  0.331  0.000  0.331
Tc  0.669  0.000  0.669

Summary:
Calculated formation energy = -0.140 eV per atom
Offset from the most stable computed form = 7.72 kJ per mole of atoms
Space-group type = No. 139